[1]
Material: Ba2LaGeS5
Method: DFT, PBE
State: relaxed

Formation energy (no corrections) ... -1649.7 meV/atom

CIF file:
```
data_Ba2LaGeS5
_chemical_formula_sum 'Ba8 La4 Ge4 S20'
_cell_length_a 4.396
_cell_length_b 18.185
_cell_length_c 12.902
_cell_angle_alpha 90.00
_cell_angle_beta 90.00
_cell_angle_gamma 90.00
_space_group_name_H-M_alt 'C m c 21'
_space_group_IT_number 36
_space_group_name_Hall 'C 2c -2'
loop_
_atom_site_label
_atom_site_fract_x
_atom_site_fract_y
_atom_site_fract_z
_atom_site_occupancy
Ba1 0.000 0.117 0.000 1
Ba2 0.000 0.125 0.650 1
La1 0.000 0.199 0.345 1
Ge1 0.000 0.450 0.744 1
S1 0.000 0.033 0.317 1
S2 0.000 0.299 0.987 1
S3 0.000 0.324 0.690 1
S4 0.000 0.350 0.326 1
S5 0.000 0.497 0.085 1
```

---

[2]
Material: SmYAlAg
Method: DFT, PBE
State: relaxed

ΔE to the lowest computed polymorph ... 0.000 eV per atom
Calculated formation energy ... -0.36 eV per atom

CIF file:
```
data_SmYAlAg
_chemical_formula_sum 'Sm1 Y1 Al1 Ag1'
_cell_length_a 3.587
_cell_length_b 3.587
_cell_length_c 7.660
_cell_angle_alpha 90.00
_cell_angle_beta 90.00
_cell_angle_gamma 90.00
_space_group_name_H-M_alt 'P 4 m m'
_space_group_IT_number 99
_space_group_name_Hall 'P 4 -2'
loop_
_atom_site_label
_atom_site_fract_x
_atom_site_fract_y
_atom_site_fract_z
_atom_site_occupancy
Sm1 0.000 0.000 0.000 1
Y1 0.000 0.000 0.502 1
Al1 0.500 0.500 0.746 1
Ag1 0.500 0.500 0.266 1
```

---

[3]
Material: ErMgPd
Method: DFT, PBE
State: relaxed

Calculated formation energy ... -0.57 eV per atom

CIF file:
```
data_ErMgPd
_chemical_formula_sum 'Er2 Mg2 Pd2'
_cell_length_a 3.479
_cell_length_b 3.479
_cell_length_c 10.619
_cell_angle_alpha 90.00
_cell_angle_beta 90.00
_cell_angle_gamma 90.00
_space_group_name_H-M_alt 'I 4 m m'
_space_group_IT_number 107
_space_group_name_Hall 'I 4 -2'
loop_
_atom_site_label
_atom_site_fract_x
_atom_site_fract_y
_atom_site_fract_z
_atom_site_occupancy
Er1 0.000 0.000 0.000 1
Mg1 0.000 0.000 0.711 1
Pd1 0.000 0.000 0.348 1
```

---

[4]
Material: Rb3Y2B3O9
Method: DFT, PBE
State: relaxed

Formation energy (no corrections) ... -2655.8 meV/atom

CIF file:
```
data_Rb3Y2B3O9
_chemical_formula_sum 'Rb12 Y8 B12 O36'
_cell_length_a 8.846
_cell_length_b 9.687
_cell_length_c 12.384
_cell_angle_alpha 90.00
_cell_angle_beta 90.00
_cell_angle_gamma 90.00
_space_group_name_H-M_alt 'P n a 21'
_space_group_IT_number 33
_space_group_name_Hall 'P 2c -2n'
loop_
_atom_site_label
_atom_site_fract_x
_atom_site_fract_y
_atom_site_fract_z
_atom_site_occupancy
Rb1 0.089 0.196 0.000 1
Rb2 0.151 0.359 0.647 1
Rb3 0.205 0.534 0.978 1
Y1 0.015 0.008 0.735 1
Y2 0.141 0.386 0.304 1
B1 0.035 0.849 0.969 1
B2 0.134 0.675 0.312 1
B3 0.174 0.695 0.696 1
O1 0.020 0.909 0.071 1
O2 0.039 0.272 0.444 1
O3 0.044 0.620 0.684 1
O4 0.046 0.588 0.374 1
O5 0.113 0.817 0.311 1
O6 0.121 0.917 0.891 1
O7 0.179 0.836 0.668 1
O8 0.191 0.141 0.239 1
O9 0.246 0.610 0.247 1
```

---

[5]
Material: CrAuBr2
Method: DFT, PBE
State: relaxed

Formation energy (no corrections) ... -139.8 meV/atom
ΔE to the lowest computed polymorph ... 0.081 eV per atom

CIF file:
```
data_CrAuBr2
_chemical_formula_sum 'Cr2 Au2 Br4'
_cell_length_a 3.266
_cell_length_b 4.966
_cell_length_c 13.660
_cell_angle_alpha 90.00
_cell_angle_beta 90.00
_cell_angle_gamma 90.00
_space_group_name_H-M_alt 'I m m m'
_space_group_IT_number 71
_space_group_name_Hall '-I 2 2'
loop_
_atom_site_label
_atom_site_fract_x
_atom_site_fract_y
_atom_site_fract_z
_atom_site_occupancy
Cr1 0.000 0.000 0.000 1
Au1 0.000 0.000 0.500 1
Br1 0.000 0.500 0.360 1
```

---

[6]
Material: RbBaSr2Au
Method: DFT, PBE
State: relaxed

ΔE to the lowest computed polymorph ... 0.000 eV per atom
Calculated formation energy ... -0.29 eV per atom

CIF file:
```
data_RbBaSr2Au
_chemical_formula_sum 'Rb1 Ba1 Sr2 Au1'
_cell_length_a 6.344
_cell_length_b 6.344
_cell_length_c 6.587
_cell_angle_alpha 90.00
_cell_angle_beta 90.00
_cell_angle_gamma 90.00
_space_group_name_H-M_alt 'P 4/m m m'
_space_group_IT_number 123
_space_group_name_Hall '-P 4 2'
loop_
_atom_site_label
_atom_site_fract_x
_atom_site_fract_y
_atom_site_fract_z
_atom_site_occupancy
Rb1 0.000 0.000 0.000 1
Ba1 0.500 0.500 0.000 1
Sr1 0.000 0.500 0.500 1
Au1 0.500 0.500 0.500 1
```

---

[7]
Material: La2TbSn2
Method: DFT, PBE
State: relaxed

Calculated formation energy ... -0.74 eV per atom

CIF file:
```
data_La2TbSn2
_chemical_formula_sum 'La4 Tb2 Sn4'
_cell_length_a 8.246
_cell_length_b 8.246
_cell_length_c 4.711
_cell_angle_alpha 90.00
_cell_angle_beta 90.00
_cell_angle_gamma 90.00
_space_group_name_H-M_alt 'P 4/m b m'
_space_group_IT_number 127
_space_group_name_Hall '-P 4 2ab'
loop_
_atom_site_label
_atom_site_fract_x
_atom_site_fract_y
_atom_site_fract_z
_atom_site_occupancy
La1 0.172 0.328 0.000 1
Tb1 0.000 0.000 0.500 1
Sn1 0.129 0.629 0.500 1
```

---

[8]
Material: PmPrCuOs
Method: DFT, PBE
State: relaxed

Calculated formation energy ... -0.07 eV per atom

CIF file:
```
data_PmPrCuOs
_chemical_formula_sum 'Pm4 Pr4 Cu4 Os4'
_cell_length_a 7.095
_cell_length_b 7.095
_cell_length_c 7.095
_cell_angle_alpha 90.00
_cell_angle_beta 90.00
_cell_angle_gamma 90.00
_space_group_name_H-M_alt 'F -4 3 m'
_space_group_IT_number 216
_space_group_name_Hall 'F -4 2 3'
loop_
_atom_site_label
_atom_site_fract_x
_atom_site_fract_y
_atom_site_fract_z
_atom_site_occupancy
Pm1 0.000 0.000 0.000 1
Pr1 0.000 0.000 0.500 1
Cu1 0.250 0.250 0.250 1
Os1 0.250 0.250 0.750 1
```

---

[9]
Material: TlCu2AgCl5
Method: DFT, PBE
State: relaxed

Formation energy (no corrections) ... -562.9 meV/atom

CIF file:
```
data_TlCu2AgCl5
_chemical_formula_sum 'Tl1 Cu2 Ag1 Cl5'
_cell_length_a 4.683
_cell_length_b 4.683
_cell_length_c 9.395
_cell_angle_alpha 90.00
_cell_angle_beta 90.00
_cell_angle_gamma 90.00
_space_group_name_H-M_alt 'P 4/m m m'
_space_group_IT_number 123
_space_group_name_Hall '-P 4 2'
loop_
_atom_site_label
_atom_site_fract_x
_atom_site_fract_y
_atom_site_fract_z
_atom_site_occupancy
Tl1 0.000 0.000 0.000 1
Cu1 0.500 0.500 0.268 1
Ag1 0.000 0.000 0.500 1
Cl1 0.000 0.500 0.308 1
Cl2 0.500 0.500 0.000 1
```

---

[10]
Material: CeTh2Co2
Method: DFT, PBE
State: relaxed

ΔE to the lowest computed polymorph ... 0.000 eV per atom
Calculated formation energy ... -0.26 eV per atom

CIF file:
```
data_CeTh2Co2
_chemical_formula_sum 'Ce2 Th4 Co4'
_cell_length_a 3.632
_cell_length_b 6.281
_cell_length_c 9.724
_cell_angle_alpha 90.00
_cell_angle_beta 90.00
_cell_angle_gamma 90.00
_space_group_name_H-M_alt 'I m m m'
_space_group_IT_number 71
_space_group_name_Hall '-I 2 2'
loop_
_atom_site_label
_atom_site_fract_x
_atom_site_fract_y
_atom_site_fract_z
_atom_site_occupancy
Ce1 0.000 0.000 0.000 1
Th1 0.000 0.500 0.191 1
Co1 0.000 0.212 0.500 1
```

---

[11]
Material: Te3Ir
Method: DFT, PBE
State: relaxed

Formation energy (no corrections) ... 836.8 meV/atom

CIF file:
```
data_Te3Ir
_chemical_formula_sum 'Te3 Ir1'
_cell_length_a 4.539
_cell_length_b 4.539
_cell_length_c 4.539
_cell_angle_alpha 90.00
_cell_angle_beta 90.00
_cell_angle_gamma 90.00
_space_group_name_H-M_alt 'P m -3 m'
_space_group_IT_number 221
_space_group_name_Hall '-P 4 2 3'
loop_
_atom_site_label
_atom_site_fract_x
_atom_site_fract_y
_atom_site_fract_z
_atom_site_occupancy
Te1 0.000 0.000 0.500 1
Ir1 0.500 0.500 0.500 1
```

---

[12]
Material: Rb3SnBi3
Method: DFT, PBE
State: relaxed

ΔE to the lowest computed polymorph ... 0.035 eV per atom
Calculated formation energy ... -0.26 eV per atom

CIF file:
```
data_Rb3SnBi3
_chemical_formula_sum 'Rb12 Sn4 Bi12'
_cell_length_a 10.200
_cell_length_b 16.764
_cell_length_c 9.600
_cell_angle_alpha 90.00
_cell_angle_beta 121.94
_cell_angle_gamma 90.00
_space_group_name_H-M_alt 'C 1 2/m 1'
_space_group_IT_number 12
_space_group_name_Hall '-C 2y'
loop_
_atom_site_label
_atom_site_fract_x
_atom_site_fract_y
_atom_site_fract_z
_atom_site_occupancy
Rb1 0.000 0.142 0.000 1
Rb2 0.000 0.296 0.500 1
Rb3 0.198 0.000 0.750 1
Sn1 0.035 0.500 0.723 1
Bi1 0.097 0.351 0.922 1
Bi2 0.238 0.000 0.379 1
```

---

[13]
Material: TaTi2Sb
Method: DFT, PBE
State: relaxed

Formation energy (no corrections) ... 402.5 meV/atom

CIF file:
```
data_TaTi2Sb
_chemical_formula_sum 'Ta4 Ti8 Sb4'
_cell_length_a 7.534
_cell_length_b 7.534
_cell_length_c 5.609
_cell_angle_alpha 90.00
_cell_angle_beta 90.00
_cell_angle_gamma 90.00
_space_group_name_H-M_alt 'I -4 2 d'
_space_group_IT_number 122
_space_group_name_Hall 'I -4 2bw'
loop_
_atom_site_label
_atom_site_fract_x
_atom_site_fract_y
_atom_site_fract_z
_atom_site_occupancy
Ta1 0.000 0.000 0.000 1
Ti1 0.244 0.750 0.125 1
Sb1 0.000 0.000 0.500 1
```

---

[14]
Material: Cd2Ru2Au
Method: DFT, PBE
State: relaxed

Calculated formation energy ... 0.37 eV per atom

CIF file:
```
data_Cd2Ru2Au
_chemical_formula_sum 'Cd4 Ru4 Au2'
_cell_length_a 6.733
_cell_length_b 6.733
_cell_length_c 4.135
_cell_angle_alpha 90.00
_cell_angle_beta 90.00
_cell_angle_gamma 90.00
_space_group_name_H-M_alt 'P 4/m b m'
_space_group_IT_number 127
_space_group_name_Hall '-P 4 2ab'
loop_
_atom_site_label
_atom_site_fract_x
_atom_site_fract_y
_atom_site_fract_z
_atom_site_occupancy
Cd1 0.178 0.322 0.000 1
Ru1 0.121 0.621 0.500 1
Au1 0.000 0.000 0.500 1
```

---

[15]
Material: PmMn2CN
Method: DFT, PBE
State: relaxed

Formation energy (no corrections) ... -368.8 meV/atom

CIF file:
```
data_PmMn2CN
_chemical_formula_sum 'Pm4 Mn8 C4 N4'
_cell_length_a 3.372
_cell_length_b 10.203
_cell_length_c 6.780
_cell_angle_alpha 90.00
_cell_angle_beta 90.00
_cell_angle_gamma 90.00
_space_group_name_H-M_alt 'C m c m'
_space_group_IT_number 63
_space_group_name_Hall '-C 2c 2'
loop_
_atom_site_label
_atom_site_fract_x
_atom_site_fract_y
_atom_site_fract_z
_atom_site_occupancy
Pm1 0.000 0.046 0.250 1
Mn1 0.000 0.322 0.068 1
C1 0.000 0.229 0.750 1
N1 0.000 0.500 0.000 1
```

---

[16]
Material: Th4N3
Method: DFT, PBE
State: relaxed

Formation energy (no corrections) ... -1279.3 meV/atom

CIF file:
```
data_Th4N3
_chemical_formula_sum 'Th4 N3'
_cell_length_a 5.147
_cell_length_b 5.147
_cell_length_c 5.147
_cell_angle_alpha 90.00
_cell_angle_beta 90.00
_cell_angle_gamma 90.00
_space_group_name_H-M_alt 'P m -3 m'
_space_group_IT_number 221
_space_group_name_Hall '-P 4 2 3'
loop_
_atom_site_label
_atom_site_fract_x
_atom_site_fract_y
_atom_site_fract_z
_atom_site_occupancy
Th1 0.000 0.000 0.000 1
Th2 0.000 0.500 0.500 1
N1 0.000 0.000 0.500 1
```

---

[17]
Material: Nd6YHo2Th
Method: DFT, PBE
State: relaxed

Calculated formation energy ... 0.14 eV per atom

CIF file:
```
data_Nd6YHo2Th
_chemical_formula_sum 'Nd24 Y4 Ho8 Th4'
_cell_length_a 9.345
_cell_length_b 15.128
_cell_length_c 9.763
_cell_angle_alpha 90.00
_cell_angle_beta 97.89
_cell_angle_gamma 90.00
_space_group_name_H-M_alt 'C 1 2/c 1'
_space_group_IT_number 15
_space_group_name_Hall '-C 2yc'
loop_
_atom_site_label
_atom_site_fract_x
_atom_site_fract_y
_atom_site_fract_z
_atom_site_occupancy
Nd1 0.065 0.174 0.443 1
Nd2 0.095 0.392 0.619 1
Nd3 0.208 0.219 0.814 1
Y1 0.000 0.408 0.250 1
Ho1 0.246 0.045 0.050 1
Th1 0.000 0.029 0.750 1
```

---

[18]
Material: Bi2OsRhPb
Method: DFT, PBE
State: relaxed

Calculated formation energy ... 1.04 eV per atom

CIF file:
```
data_Bi2OsRhPb
_chemical_formula_sum 'Bi2 Os1 Rh1 Pb1'
_cell_length_a 5.234
_cell_length_b 5.234
_cell_length_c 5.205
_cell_angle_alpha 90.00
_cell_angle_beta 90.00
_cell_angle_gamma 90.00
_space_group_name_H-M_alt 'P 4/m m m'
_space_group_IT_number 123
_space_group_name_Hall '-P 4 2'
loop_
_atom_site_label
_atom_site_fract_x
_atom_site_fract_y
_atom_site_fract_z
_atom_site_occupancy
Bi1 0.000 0.500 0.000 1
Os1 0.000 0.000 0.000 1
Rh1 0.500 0.500 0.500 1
Pb1 0.000 0.000 0.500 1
```

---

[19]
Material: Ac2La12Hg7
Method: DFT, PBE
State: relaxed

Calculated formation energy ... -0.28 eV per atom

CIF file:
```
data_Ac2La12Hg7
_chemical_formula_sum 'Ac2 La12 Hg7'
_cell_length_a 14.5783
_cell_length_b 14.5783
_cell_length_c 3.8210
_cell_angle_alpha 90.00
_cell_angle_beta 90.00
_cell_angle_gamma 120.00
_space_group_name_H-M_alt 'P -6'
_space_group_IT_number 174
_space_group_name_Hall 'P -6'
loop_
_atom_site_label
_atom_site_fract_x
_atom_site_fract_y
_atom_site_fract_z
_atom_site_occupancy
Ac1 0.0000 0.0000 0.0000 1
Ac2 0.3333 0.6667 0.5000 1
La1 0.0364 0.7522 0.5000 1
La2 0.0969 0.3953 0.0000 1
La3 0.3988 0.1857 0.0000 1
La4 0.5410 0.4328 0.5000 1
Hg1 0.1210 0.6311 0.0000 1
Hg2 0.1996 0.0183 0.5000 1
Hg3 0.6667 0.3333 0.0000 1
```

---

[20]
Material: Ba3Cd2InAg6
Method: DFT, PBE
State: relaxed

Calculated formation energy ... -0.14 eV per atom

CIF file:
```
data_Ba3Cd2InAg6
_chemical_formula_sum 'Ba3 Cd2 In1 Ag6'
_cell_length_a 6.5972
_cell_length_b 6.5972
_cell_length_c 9.3112
_cell_angle_alpha 90.00
_cell_angle_beta 90.00
_cell_angle_gamma 120.00
_space_group_name_H-M_alt 'P -3 m 1'
_space_group_IT_number 164
_space_group_name_Hall '-P 3 2"'
loop_
_atom_site_label
_atom_site_fract_x
_atom_site_fract_y
_atom_site_fract_z
_atom_site_occupancy
Ba1 0.0000 0.0000 0.0000 1
Ba2 0.3333 0.6667 0.6232 1
Cd1 0.3333 0.6667 0.0223 1
In1 0.0000 0.0000 0.5000 1
Ag1 0.1871 0.3742 0.2860 1
```

---

[21]
Material: LiCuNi
Method: DFT, PBE
State: relaxed

ΔE to the lowest computed polymorph ... 0.064 eV per atom
Calculated formation energy ... 0.02 eV per atom

CIF file:
```
data_LiCuNi
_chemical_formula_sum 'Li4 Cu4 Ni4'
_cell_length_a 2.651
_cell_length_b 4.180
_cell_length_c 12.703
_cell_angle_alpha 90.00
_cell_angle_beta 90.00
_cell_angle_gamma 90.00
_space_group_name_H-M_alt 'F m m 2'
_space_group_IT_number 42
_space_group_name_Hall 'F 2 -2'
loop_
_atom_site_label
_atom_site_fract_x
_atom_site_fract_y
_atom_site_fract_z
_atom_site_occupancy
Li1 0.000 0.000 0.000 1
Cu1 0.000 0.000 0.329 1
Ni1 0.000 0.000 0.663 1
```

---

One value per record, in order, for magnetic moment: 0.0, 0.0, 0.0, 0.0, 3.3, 0.0, 0.0, 0.0, 0.0, 0.0, 0.0, 0.0, 0.0, 0.6, 2.0, 0.0, 0.0, 0.0, 0.0, 0.0, 0.2 μB per formula unit.
One value per record, in order, for total DFT energy (no corrections): -195.50, -19.20, -26.12, -502.54, -33.61, -10.98, -52.35, -100.49, -27.71, -72.56, -14.94, -81.51, -120.62, -43.58, -169.93, -63.61, -200.93, -24.85, -75.42, -29.17, -46.97 eV for the cell shown.